Record 1
{"formula": "PmNdHo2", "functional": "PBE", "state": "relaxed", "lattice_angstrom": [[0.000, 4.047, 4.047], [4.047, 0.000, 4.047], [4.047, 4.047, 0.000]], "species": ["Pm", "Nd", "Ho", "Ho"], "fractional_positions": [[0.000, 0.000, 0.000], [0.500, 0.500, 0.500], [0.250, 0.250, 0.250], [0.750, 0.750, 0.750]], "total_energy_ev_per_atom": -4.55, "formation_energy_ev_per_atom": 0.115, "magnetic_moment_mub_per_fu": 0.00}


Record 2
{"formula": "LuGePt", "functional": "PBE", "state": "relaxed", "lattice_angstrom": [[6.894, 0.000, 0.000], [0.000, 4.325, 0.000], [0.000, 0.000, 7.587]], "species": ["Lu", "Lu", "Lu", "Lu", "Ge", "Ge", "Ge", "Ge", "Pt", "Pt", "Pt", "Pt"], "fractional_positions": [[0.003, 0.250, 0.203], [0.497, 0.750, 0.703], [0.503, 0.250, 0.297], [0.997, 0.750, 0.797], [0.190, 0.250, 0.590], [0.310, 0.750, 0.090], [0.690, 0.250, 0.910], [0.810, 0.750, 0.410], [0.207, 0.750, 0.416], [0.293, 0.250, 0.916], [0.707, 0.750, 0.084], [0.793, 0.250, 0.584]], "total_energy_ev_per_atom": -6.19, "formation_energy_ev_per_atom": -1.129, "magnetic_moment_mub_per_fu": 0.00}


Record 3
{"formula": "Cs2ZnGa", "functional": "PBE", "state": "relaxed", "lattice_angstrom": [[-5.073, 5.073, 3.838], [5.073, -5.073, 3.838], [5.073, 5.073, -3.838]], "species": ["Cs", "Cs", "Cs", "Cs", "Zn", "Zn", "Ga", "Ga"], "fractional_positions": [[0.117, 0.625, 0.992], [0.375, 0.367, 0.492], [0.633, 0.125, 0.008], [0.875, 0.883, 0.508], [0.000, 0.000, 0.000], [0.750, 0.250, 0.500], [0.250, 0.750, 0.500], [0.500, 0.500, 0.000]], "total_energy_ev_per_atom": -1.11, "formation_energy_ev_per_atom": 0.389, "magnetic_moment_mub_per_fu": 0.00}